Ce3CoBi: relaxed, PBE.

Unit cell a=4.779 b=7.566 c=8.193 alpha=117.50 beta=90.00 gamma=90.00
Each line ends with the local moment (μB).
Fractional positions:
1 Ce 0.000 0.111 0.223  0.24
2 Ce 0.500 0.500 0.500  0.71
3 Ce 0.000 0.889 0.777  0.24
4 Ce 0.500 0.000 0.500  0.71
5 Ce 0.500 0.681 0.000  0.62
6 Ce 0.500 0.319 0.000  0.62
7 Bi 0.000 0.356 0.712  -0.02
8 Bi 0.000 0.644 0.288  -0.02
9 Co 0.500 0.902 0.805  -0.09
10 Co 0.500 0.098 0.195  -0.09

energy relative to the elements: -448 meV per atom
crystal system: orthorhombic
ΔE to the lowest computed polymorph: 0 meV/atom
Fermi-level density of states: 2.362 states/eV per atom
raw total energy: -6.21 eV per atom
space group: Cmmm
density: 8.7 g/cm3